1.
VASP calculation (PBE) on an optimized crystal structure of PrSmHg2.

Geometry as CIF:
```
data_PrSmHg2
_chemical_formula_sum 'Pr3 Sm3 Hg6'
_symmetry_space_group_name_H-M 'R 3 m'
_symmetry_Int_Tables_number 160
_symmetry_space_group_name_Hall 'R 3 -2"'
_cell_length_a 3.8867
_cell_length_b 3.8867
_cell_length_c 27.9498
_cell_angle_alpha 90.00
_cell_angle_beta 90.00
_cell_angle_gamma 120.00
loop_
_atom_site_label
_atom_site_type_symbol
_atom_site_fract_x
_atom_site_fract_y
_atom_site_fract_z
Pr1 Pr 0.0000 0.0000 0.0000
Sm1 Sm 0.0000 0.0000 0.8338
Hg1 Hg 0.0000 0.0000 0.2483
Hg2 Hg 0.0000 0.0000 0.4187
```

Summary:
N(E_F) = 11.50 states/eV/cell
Energy of formation = -1.313 eV per formula unit
Energy relative to the lowest polymorph listed for this composition = 145.2 meV per atom
M_tot = 0.000 μB per cell

---

2.
VASP calculation (PBE) on an optimized crystal structure of CoPOs2.

Geometry as CIF:
```
data_CoPOs2
_chemical_formula_sum 'Co1 P1 Os2'
_symmetry_space_group_name_H-M 'P m m 2'
_symmetry_Int_Tables_number 25
_cell_length_a 2.744
_cell_length_b 3.552
_cell_length_c 5.417
_cell_angle_alpha 90.00
_cell_angle_beta 90.00
_cell_angle_gamma 90.00
loop_
_symmetry_equiv_pos_as_xyz
'x,y,z'
'-x,-y,z'
'-x,y,z'
'x,-y,z'
loop_
_atom_site_label
_atom_site_type_symbol
_atom_site_fract_x
_atom_site_fract_y
_atom_site_fract_z
Co1 Co 0.000 0.000 0.000
P1 P 0.500 0.500 0.848
Os1 Os 0.000 0.000 0.518
Os2 Os 0.500 0.500 0.280
```

Summary:
N(E_F) = 3.66 states/eV/cell
Energy of formation = 0.839 eV per formula unit
M_tot = 0.001 μB per cell